First-principles (PBE) data for Na3TlHg6 after structural relaxation, as listed in Alexandria.

Calculated values
Energy relative to the elements   -0.14 eV/atom
Fermi-level density of states   9.92 states/eV per cell
Space group   R-3c (167)

Unit cell a=8.345 b=8.345 c=8.345 alpha=93.55 beta=93.55 gamma=93.55
Fractional coordinates of all 20 atoms:
Na 0.174 0.750 0.325
Na 0.325 0.174 0.750
Na 0.250 0.675 0.826
Na 0.750 0.325 0.174
Na 0.675 0.826 0.250
Na 0.826 0.250 0.675
Tl 0.000 0.000 0.000
Tl 0.500 0.500 0.500
Hg 0.902 0.642 0.018
Hg 0.982 0.098 0.358
Hg 0.142 0.402 0.519
Hg 0.358 0.982 0.098
Hg 0.402 0.519 0.142
Hg 0.481 0.858 0.598
Hg 0.519 0.142 0.402
Hg 0.598 0.481 0.858
Hg 0.642 0.018 0.902
Hg 0.858 0.598 0.481
Hg 0.018 0.902 0.642
Hg 0.098 0.358 0.982